The following is a DFT calculation (GGA-PBE) of a relaxed Ta2H2Pb crystal.

Results
Density of states at the Fermi level: 0.62 states/eV per atom
E_tot: -32.89 eV per cell
Volume: 66 Å³ per cell
Spin magnetization: 0.00 μB/cell
ρ: 14.445 g/cm³

Cell and atoms, written as POSCAR:
```
Ta2H2Pb
1.0
-1.839 1.839 4.851
1.839 -1.839 4.851
1.839 1.839 -4.851
Ta H Pb
2 2 1
Direct
0.170 0.170 0.000
0.830 0.830 0.000
0.250 0.750 0.500
0.750 0.250 0.500
0.500 0.500 0.000
```



The following is a DFT calculation (GGA-PBE) of a relaxed TaTi2HPb crystal.

Results
Density of states at the Fermi level: 0.42 states/eV per atom
E_tot: -35.22 eV per cell
Volume: 76 Å³ per cell
Spin magnetization: 0.00 μB/cell
ρ: 10.656 g/cm³

Cell and atoms, written as POSCAR:
```
TaTi2HPb
1.0
4.419 0.000 0.000
0.000 4.419 0.000
0.000 0.000 3.870
Ta Ti H Pb
1 2 1 1
Direct
0.000 0.000 0.000
0.000 0.500 0.500
0.500 0.000 0.500
0.000 0.000 0.500
0.500 0.500 0.000
```



The following is a DFT calculation (GGA-PBE) of a relaxed Zr2TaHPb crystal.

Results
Density of states at the Fermi level: 0.32 states/eV per atom
E_tot: -36.75 eV per cell
Volume: 88 Å³ per cell
Spin magnetization: 0.00 μB/cell
ρ: 10.828 g/cm³

Cell and atoms, written as POSCAR:
```
Zr2TaHPb
1.0
4.703 0.000 0.000
0.000 4.703 0.000
0.000 0.000 3.963
Zr Ta H Pb
2 1 1 1
Direct
0.000 0.500 0.000
0.500 0.000 0.000
0.000 0.000 0.500
0.000 0.000 0.000
0.500 0.500 0.500
```



The following is a DFT calculation (GGA-PBE) of a relaxed Tb4H2Pb3 crystal.

Results
Density of states at the Fermi level: 0.56 states/eV per atom
E_tot: -82.04 eV per cell
Volume: 423 Å³ per cell
Spin magnetization: 0.00 μB/cell
ρ: 9.892 g/cm³

Cell and atoms, written as POSCAR:
```
Tb4H2Pb3
1.0
6.810 -4.842 0.000
6.810 4.842 0.000
-1.569 0.000 6.411
Tb H Pb
8 4 6
Direct
0.116 0.658 0.967
0.229 0.381 0.407
0.342 0.884 0.533
0.381 0.229 0.907
0.619 0.771 0.093
0.658 0.116 0.467
0.771 0.619 0.593
0.884 0.342 0.033
0.141 0.407 0.066
0.407 0.141 0.566
0.593 0.859 0.434
0.859 0.593 0.934
0.002 0.221 0.565
0.221 0.002 0.065
0.489 0.511 0.750
0.511 0.489 0.250
0.779 0.998 0.935
0.998 0.779 0.435
```